! Mg6NbSb (PBE, optimized geometry); values from VASP
! Energy relative to the lowest polymorph listed for this composition ... 0 meV/atom
! Crystal system ... orthorhombic
&SYSTEM
  ibrav = 0, nat = 8, ntyp = 3
/
ATOMIC_SPECIES
Mg 24.30 Mg.upf
Nb 92.91 Nb.upf
Sb 121.76 Sb.upf
CELL_PARAMETERS angstrom
5.011 0.000 0.000
0.000 3.191 5.352
0.000 -3.191 5.352
ATOMIC_POSITIONS crystal
Mg 0.000 0.000 0.000
Mg 0.000 0.012 0.496
Mg 0.000 0.496 0.012
Mg 0.500 0.168 0.168
Mg 0.500 0.174 0.665
Mg 0.500 0.665 0.174
Nb 0.000 0.503 0.503
Sb 0.500 0.661 0.661

! TbZrPa2 (PBE, optimized geometry); values from VASP
! Energy relative to the lowest polymorph listed for this composition ... 0 meV/atom
! Crystal system ... tetragonal
&SYSTEM
  ibrav = 0, nat = 4, ntyp = 3
/
ATOMIC_SPECIES
Tb 158.93 Tb.upf
Zr 91.22 Zr.upf
Pa 231.04 Pa.upf
CELL_PARAMETERS angstrom
3.169 0.000 0.000
0.000 3.169 0.000
0.000 0.000 10.294
ATOMIC_POSITIONS crystal
Tb 0.000 0.000 0.000
Zr 0.000 0.000 0.500
Pa 0.500 0.500 0.262
Pa 0.500 0.500 0.738

! BaLi2AlO4 (PBE, optimized geometry); values from VASP
! Crystal system ... tetragonal
&SYSTEM
  ibrav = 0, nat = 8, ntyp = 4
/
ATOMIC_SPECIES
Ba 137.33 Ba.upf
Li 6.94 Li.upf
Al 26.98 Al.upf
O 16.00 O.upf
CELL_PARAMETERS angstrom
-2.679 2.679 3.680
2.679 -2.679 3.680
2.679 2.679 -3.680
ATOMIC_POSITIONS crystal
Ba 0.000 0.000 0.000
Li 0.250 0.750 0.500
Li 0.750 0.250 0.500
Al 0.500 0.500 0.000
O 0.166 0.538 0.000
O 0.462 0.462 0.627
O 0.538 0.166 0.000
O 0.834 0.834 0.373

! Th5TcHg2 (PBE, optimized geometry); values from VASP
! Energy relative to the lowest polymorph listed for this composition ... 0 meV/atom
! Crystal system ... orthorhombic
&SYSTEM
  ibrav = 0, nat = 16, ntyp = 3
/
ATOMIC_SPECIES
Th 232.04 Th.upf
Tc 98.00 Tc.upf
Hg 200.59 Hg.upf
CELL_PARAMETERS angstrom
8.131 0.000 0.000
0.000 12.021 0.000
0.000 0.000 4.747
ATOMIC_POSITIONS crystal
Th 0.000 0.000 0.000
Th 0.138 0.292 0.000
Th 0.190 0.567 0.500
Th 0.310 0.067 0.500
Th 0.362 0.792 0.000
Th 0.500 0.500 0.000
Th 0.638 0.208 0.000
Th 0.690 0.933 0.500
Th 0.810 0.433 0.500
Th 0.862 0.708 0.000
Tc 0.000 0.500 0.000
Tc 0.500 0.000 0.000
Hg 0.084 0.827 0.500
Hg 0.416 0.327 0.500
Hg 0.584 0.673 0.500
Hg 0.916 0.173 0.500

! YSi (PBE, optimized geometry); values from VASP
! Crystal system ... orthorhombic
&SYSTEM
  ibrav = 0, nat = 4, ntyp = 2
/
ATOMIC_SPECIES
Y 88.91 Y.upf
Si 28.09 Si.upf
CELL_PARAMETERS angstrom
2.142 -5.280 0.000
2.142 5.280 0.000
0.000 0.000 3.843
ATOMIC_POSITIONS crystal
Y 0.140 0.860 0.750
Y 0.860 0.140 0.250
Si 0.424 0.576 0.750
Si 0.576 0.424 0.250

! TmZn4Ag (PBE, optimized geometry); values from VASP
! Crystal system ... cubic
&SYSTEM
  ibrav = 0, nat = 6, ntyp = 3
/
ATOMIC_SPECIES
Tm 168.93 Tm.upf
Zn 65.41 Zn.upf
Ag 107.87 Ag.upf
CELL_PARAMETERS angstrom
0.000 3.732 3.732
3.732 0.000 3.732
3.732 3.732 0.000
ATOMIC_POSITIONS crystal
Tm 0.000 0.000 0.000
Zn 0.375 0.375 0.375
Zn 0.375 0.375 0.876
Zn 0.375 0.876 0.375
Zn 0.876 0.375 0.375
Ag 0.750 0.750 0.750

| no. | uncorrected energy (eV for the cell shown) |
| --- | --- |
| 1 | -23.5 |
| 2 | -31.4 |
| 3 | -47.3 |
| 4 | -98.8 |
| 5 | -27.2 |
| 6 | -13.5 |